Record 1
This record from Alexandria describes a geometry-optimized KSiPb2 structure. The functional is PBE.

Cell: 5.987 5.987 5.987 Å, 132.36 132.36 69.66°
Atoms (fractional coordinates):
K (0.750, 0.250, 0.500)
Pb (0.250, 0.750, 0.500)
Pb (0.000, 0.000, 0.000)
Si (0.500, 0.500, 0.000)

Spin magnetization ... 0.000 μB per formula unit
Calculated density ... 6.96 g/cm3
Symmetry ... I-4m2
Total DFT energy (no corrections) ... -3.204 eV per atom

---

Record 2
This record from Alexandria describes a geometry-optimized CuHgBi structure. The functional is PBE.

Cell: 7.218 9.520 8.055 Å, 62.28 63.38 67.72°
Atoms (fractional coordinates):
Bi (0.921, 0.747, 0.848)
Bi (0.000, 0.277, 0.165)
Bi (0.488, 0.067, 0.806)
Bi (0.484, 0.247, 0.348)
Bi (0.639, 0.567, 0.306)
Bi (0.558, 0.777, 0.665)
Cu (0.898, 0.749, 0.257)
Cu (0.848, 0.084, 0.099)
Cu (0.969, 0.584, 0.599)
Cu (0.096, 0.249, 0.757)
Cu (0.156, 0.915, 0.926)
Cu (0.003, 0.415, 0.426)
Hg (0.121, 0.868, 0.329)
Hg (0.509, 0.960, 0.228)
Hg (0.031, 0.084, 0.592)
Hg (0.302, 0.460, 0.728)
Hg (0.682, 0.368, 0.829)
Hg (0.293, 0.584, 0.092)

Spin magnetization ... 0.000 μB per formula unit
Calculated density ... 11.02 g/cm3
Symmetry ... Cc
DFT formation energy ... 0.16 eV/atom

---

Record 3
This record from Alexandria describes a geometry-optimized Ce2Tc5P4 structure. The functional is PBE.

Cell: 5.869 5.912 6.939 Å, 77.88 64.98 60.24°
Each line ends with the local moment (μB).
Atoms (fractional coordinates):
Tc (0.000, 0.500, 0.000)  -0.08
Tc (0.500, 0.000, 0.000)  -0.04
Tc (0.500, 0.500, 0.000)  -0.08
Tc (0.250, 0.500, 0.500)  0.00
Tc (0.750, 0.500, 0.500)  0.00
Ce (0.874, 0.000, 0.252)  0.54
Ce (0.126, 0.000, 0.748)  0.54
P (0.212, 0.308, 0.268)  0.00
P (0.520, 0.692, 0.268)  0.00
P (0.788, 0.692, 0.732)  0.00
P (0.480, 0.308, 0.732)  0.00

Spin magnetization ... 1.077 μB per formula unit
Calculated density ... 7.84 g/cm3
Symmetry ... Fmmm
DFT formation energy ... -0.75 eV/atom

---

Record 4
This record from Alexandria describes a geometry-optimized CsPbAuI2 structure. The functional is PBE.

Cell: 6.448 6.448 5.529 Å, 90.00 90.00 90.00°
Atoms (fractional coordinates):
I (0.500, 0.000, 0.000)
I (0.000, 0.500, 0.000)
Au (0.000, 0.000, 0.500)
Cs (0.500, 0.500, 0.500)
Pb (0.000, 0.000, 0.000)

Spin magnetization ... 0.000 μB per formula unit
Calculated density ... 5.71 g/cm3
Symmetry ... P4/mmm
Total DFT energy (no corrections) ... -2.844 eV per atom

---

What is the calculated density in the second record? 11.02 g/cm3

---

What is the spin magnetization in the fourth record? 0.000 μB per formula unit

---

Look up the calculated density of the first one. 6.96 g/cm3